PBE-GGA La2Zn2Ni3, relaxed; relative energy among the computed polymorphs = 0.000 eV/atom; space-group type = C2/m, No. 12; energy relative to the elements = -0.33 eV/atom
1.0
4.2098 0.0000 0.0000
-2.1049 5.4767 -0.6815
0.0000 -3.6542 6.6307
Ni Zn La
3 2 2
Direct
0.4872 0.9744 0.6537 Ni
0.5000 0.0000 0.0000 Ni
0.5128 0.0256 0.3463 Ni
0.0235 0.0471 0.1850 Zn
0.9765 0.9529 0.8150 Zn
0.7948 0.5896 0.2954 La
0.2052 0.4104 0.7046 La